1.
Material: KRb6H8
Method: DFT, PBE-GGA
State: relaxed

Energy, eV per atom: -2.1900
Volume, Å³/cell: 406.4
Space group: No. 147

Cell lengths 4.483, 10.231, 10.231 Å; angles 120.00, 90.00, 90.00 degrees
Each line ends with the local moment (μB).
Fractional coordinates of all 15 atoms:
Rb1 0.235 0.120 0.437  0.01
H1 0.730 0.284 0.015  0.06
Rb2 0.765 0.683 0.120  0.01
Rb3 0.235 0.563 0.683  0.01
H2 0.270 0.716 0.985  0.06
H3 0.270 0.015 0.731  0.06
H4 0.270 0.269 0.284  0.06
H5 0.253 0.667 0.333  0.03
H6 0.730 0.985 0.269  0.06
Rb4 0.765 0.437 0.317  0.01
H7 0.730 0.731 0.716  0.06
Rb5 0.235 0.317 0.880  0.01
H8 0.747 0.333 0.667  0.03
Rb6 0.765 0.880 0.563  0.01
K1 0.500 0.000 0.000  0.00

***

2.
Material: Tb12Ho3Mg
Method: DFT, PBE-GGA
State: relaxed

Energy, eV per atom: -4.4129
Volume, Å³/cell: 500.3
Energy relative to the elements, eV/f.u.: 0.28
Space group: No. 123

Cell lengths 4.995, 4.995, 20.054 Å; angles 90.00, 90.00, 90.00 degrees
Fractional coordinates of all 16 atoms:
Mg1 0.000 0.000 0.000
Tb1 0.000 0.500 0.374
Tb2 0.000 0.500 0.626
Tb3 0.500 0.500 0.246
Ho1 0.000 0.000 0.500
Tb4 0.500 0.500 0.000
Ho2 0.000 0.000 0.248
Tb5 0.500 0.500 0.754
Tb6 0.500 0.000 0.374
Tb7 0.500 0.000 0.123
Tb8 0.500 0.000 0.626
Tb9 0.500 0.000 0.877
Tb10 0.000 0.500 0.123
Tb11 0.500 0.500 0.500
Ho3 0.000 0.000 0.752
Tb12 0.000 0.500 0.877